Computed, not measured: Ho3Sc2Rh2 after structural relaxation at the GGA-PBE level of DFT.

Results
- Fermi-level density of states: 6.348 states/eV/f.u.
- Space-group type: C2/m
- DFT formation energy: -572.3 meV/atom

a = 11.673 Å, b = 3.666 Å, c = 8.641 Å
α = 90.00°, β = 115.74°, γ = 90.00°
Fractional coordinates of all 14 atoms:
1 Ho 0.000 0.000 0.000
2 Ho 0.112 0.000 0.431
3 Ho 0.388 0.500 0.569
4 Ho 0.500 0.500 0.000
5 Ho 0.612 0.500 0.431
6 Ho 0.888 0.000 0.569
7 Sc 0.169 0.500 0.818
8 Sc 0.331 0.000 0.182
9 Sc 0.669 0.000 0.818
10 Sc 0.831 0.500 0.182
11 Rh 0.187 0.500 0.235
12 Rh 0.313 0.000 0.765
13 Rh 0.687 0.000 0.235
14 Rh 0.813 0.500 0.765